# 1
A crystal of Cu6Hg3As4S12 relaxed with PBEsol. Source: the Alexandria database, functional SCAN.

a b c (Å): 8.4530 8.4530 8.4530
angles (deg): 107.49 107.49 107.49
Element x y z (fractional)
Cu 0.2687 0.9002 0.7417
S 0.6871 0.6206 0.3639
S 0.3639 0.6871 0.6206
As 0.3644 0.1461 0.4272
As 0.1461 0.4272 0.3644
S 0.3523 0.4763 0.9296
S 0.1573 0.9772 0.5107
Cu 0.5296 0.5823 0.7864
S 0.9296 0.3523 0.4763
S 0.9772 0.5107 0.1573
Hg 0.2021 0.6734 0.0553
Hg 0.0553 0.2021 0.6734
S 0.7698 0.8193 0.0457
S 0.5107 0.1573 0.9772
As 0.0002 0.0002 0.0002
S 0.4763 0.9296 0.3523
Hg 0.6734 0.0553 0.2021
Cu 0.9002 0.7417 0.2687
As 0.4272 0.3644 0.1461
S 0.8193 0.0457 0.7698
Cu 0.5823 0.7864 0.5296
Cu 0.7417 0.2687 0.9002
S 0.0457 0.7698 0.8193
Cu 0.7864 0.5296 0.5823
S 0.6206 0.3639 0.6871

Computed properties:
- E_form (uncorrected): -240 meV/atom
- Total moment: 0.00 μB per formula unit

# 2
A crystal of CuAs2I2 relaxed with PBEsol. Source: the Alexandria database, functional SCAN.

a b c (Å): 3.6901 3.6901 9.3257
angles (deg): 101.41 101.41 90.00
Element x y z (fractional)
I 0.5897 0.5897 0.1793
I 0.4103 0.4103 0.8207
As 0.2500 0.7500 0.5000
Cu 0.0000 0.0000 0.0000
As 0.7500 0.2500 0.5000

Computed properties:
- E_form (uncorrected): 540 meV/atom
- Total moment: 0.00 μB per formula unit

# 3
A crystal of CuAs2I relaxed with PBEsol. Source: the Alexandria database, functional SCAN.

a b c (Å): 4.8151 4.8151 4.8151
angles (deg): 60.00 60.00 60.00
Element x y z (fractional)
Cu 0.0000 0.0000 0.0000
As 0.2500 0.2500 0.2500
I 0.5000 0.5000 0.5000
As 0.7500 0.7500 0.7500

Computed properties:
- E_form (uncorrected): 953 meV/atom
- Total moment: 0.00 μB per formula unit